Entry 1:
# ZrCrAs2

A geometry-optimized ZrCrAs2 structure (PBE, Alexandria).

Properties
offset from the most stable computed form = 0.281 eV/atom
ΔH_f (0 K) = -255 meV per atom

Cell: 4.529 4.529 4.529 Å, 60.00 60.00 60.00°
Fractional positions:
Zr: 0.000 0.000 0.000
Cr: 0.500 0.500 0.500
As: 0.250 0.250 0.250
As: 0.750 0.750 0.750

Entry 2:
# Zr2CrAs2

A geometry-optimized Zr2CrAs2 structure (PBE, Alexandria).

Properties
ΔH_f (0 K) = -613 meV per atom

Cell: 6.696 6.696 3.902 Å, 90.00 90.00 90.00°
Fractional positions:
Zr: 0.162 0.338 0.000
Zr: 0.338 0.838 0.000
Zr: 0.662 0.162 0.000
Zr: 0.838 0.662 0.000
Cr: 0.000 0.000 0.500
Cr: 0.500 0.500 0.500
As: 0.149 0.649 0.500
As: 0.351 0.149 0.500
As: 0.649 0.851 0.500
As: 0.851 0.351 0.500

Entry 3:
# ZrCrAs

A geometry-optimized ZrCrAs structure (PBE, Alexandria).

Properties
ΔH_f (0 K) = -236 meV per atom

Cell: 3.418 3.418 9.856 Å, 94.66 94.66 71.04°
Fractional positions:
Zr: 0.225 0.225 0.120
Zr: 0.775 0.775 0.880
Cr: 0.298 0.298 0.446
Cr: 0.702 0.702 0.554
As: 0.358 0.358 0.697
As: 0.642 0.642 0.303

Entry 4:
# Zr4CrAs

A geometry-optimized Zr4CrAs structure (PBE, Alexandria).

Properties
ΔH_f (0 K) = 518 meV per atom

Cell: 5.705 5.705 5.705 Å, 60.00 60.00 60.00°
Fractional positions:
Zr: 0.376 0.376 0.376
Zr: 0.376 0.376 0.871
Zr: 0.376 0.871 0.376
Zr: 0.871 0.376 0.376
Cr: 0.750 0.750 0.750
As: 0.000 0.000 0.000

Entry 5:
# ZrCrAs2

A geometry-optimized ZrCrAs2 structure (PBE, Alexandria).

Properties
offset from the most stable computed form = 0.000 eV/atom
ΔH_f (0 K) = -536 meV per atom

Cell: 3.827 3.827 6.227 Å, 107.98 107.98 59.99°
Fractional positions:
Zr: 0.000 0.000 0.000
Cr: 0.500 0.500 0.500
As: 0.240 0.240 0.721
As: 0.760 0.760 0.279

Entry 6:
# ZrCr4As

A geometry-optimized ZrCr4As structure (PBE, Alexandria).

Properties
ΔH_f (0 K) = 100 meV per atom

Cell: 4.913 4.913 4.913 Å, 60.00 60.00 60.00°
Fractional positions:
Zr: 0.000 0.000 0.000
Cr: 0.376 0.376 0.376
Cr: 0.376 0.376 0.871
Cr: 0.376 0.871 0.376
Cr: 0.871 0.376 0.376
As: 0.750 0.750 0.750